First-principles (PBE-GGA) data for a relaxed structure of ScZn2F8, as listed in Alexandria.

Calculated values
- Relative energy among the computed polymorphs: 3.3 kJ per mole of atoms

Cell: 5.360 5.360 9.952 Å, 90.00 90.00 90.00°
Space group I422 (No. 97)
Unique sites:
Sc (0.000, 0.000, 0.000)
Zn (0.000, 0.500, 0.250)
F (0.164, 0.289, 0.880)

---

First-principles (PBE-GGA) data for a relaxed structure of TcOs2Rh4, as listed in Alexandria.

Calculated values
- DFT formation energy: 195 kJ/mol of formula units

Cell: 5.409 7.533 5.343 Å, 90.00 90.00 90.00°
Space group Cmmm (No. 65)
Unique sites:
Tc (0.000, 0.000, 0.000)
Os (0.000, 0.500, 0.000)
Os (0.000, 0.500, 0.500)
Rh (0.250, 0.250, 0.256)

---

First-principles (PBE-GGA) data for a relaxed structure of NdDy2Ga9, as listed in Alexandria.

Calculated values
- DFT formation energy: -612 kJ/mol of formula units

Cell: 4.310 4.310 12.928 Å, 90.00 90.00 90.00°
Space group P4/mmm (No. 123)
Unique sites:
Nd (0.000, 0.000, 0.000)
Dy (0.000, 0.000, 0.336)
Ga (0.000, 0.500, 0.172)
Ga (0.000, 0.500, 0.500)
Ga (0.500, 0.500, 0.000)
Ga (0.500, 0.500, 0.334)

---

What is the formula in the first record?
ScZn2F8